1.
# TbAlW

A geometry-optimized TbAlW structure (PBE, Alexandria).

Calculated values
uncorrected energy	-7.043	eV per atom
magnetic moment	0.0	μB/f.u.

a = 6.974 Å, b = 6.974 Å, c = 4.596 Å
α = 90.00°, β = 90.00°, γ = 120.00°
Fractional positions:
Tb (0.000, 0.430, 0.000)
Tb (0.430, 0.000, 0.000)
Tb (0.570, 0.570, 0.000)
Al (0.000, 0.000, 0.000)
Al (0.333, 0.667, 0.500)
Al (0.667, 0.333, 0.500)
W (0.000, 0.789, 0.500)
W (0.211, 0.211, 0.500)
W (0.789, 0.000, 0.500)



2.
# MgTaBi2Pt

A geometry-optimized MgTaBi2Pt structure (PBE, Alexandria).

Calculated values
uncorrected energy	-4.653	eV per atom
magnetic moment	1.8	μB/f.u.

a = 5.483 Å, b = 5.483 Å, c = 5.024 Å
α = 90.00°, β = 90.00°, γ = 90.00°
Fractional positions:
Mg (0.000, 0.000, 0.000)
Ta (0.500, 0.500, 0.000)
Bi (0.000, 0.500, 0.500)
Bi (0.500, 0.000, 0.500)
Pt (0.500, 0.500, 0.500)



3.
# PuSbRhAu

A geometry-optimized PuSbRhAu structure (PBE, Alexandria).

Calculated values
ΔE_f (raw)	-7.4	kcal/mol of atoms
uncorrected energy	-7.591	eV per atom
magnetic moment	4.9	μB/f.u.

a = 4.898 Å, b = 4.898 Å, c = 4.898 Å
α = 60.00°, β = 60.00°, γ = 60.00°
Fractional positions:
Pu (0.000, 0.000, 0.000)
Sb (0.500, 0.500, 0.500)
Rh (0.250, 0.250, 0.250)
Au (0.750, 0.750, 0.750)



4.
# K2TbB2S6

A geometry-optimized K2TbB2S6 structure (PBE, Alexandria).

Calculated values
ΔE_f (raw)	-22.3	kcal/mol of atoms
uncorrected energy	-5.051	eV per atom
magnetic moment	0.0	μB/f.u.

a = 6.669 Å, b = 6.669 Å, c = 8.332 Å
α = 114.65°, β = 114.65°, γ = 59.36°
Fractional positions:
K (0.202, 0.202, 0.188)
K (0.798, 0.798, 0.812)
Tb (0.000, 0.000, 0.500)
B (0.438, 0.438, 0.722)
B (0.562, 0.562, 0.278)
S (0.234, 0.701, 0.227)
S (0.264, 0.264, 0.649)
S (0.299, 0.766, 0.773)
S (0.701, 0.234, 0.227)
S (0.736, 0.736, 0.351)
S (0.766, 0.299, 0.773)



5.
# K2HfSb3O12

A geometry-optimized K2HfSb3O12 structure (PBE, Alexandria).

Calculated values
ΔE_f (raw)	-36.6	kcal/mol of atoms
uncorrected energy	-6.255	eV per atom
magnetic moment	3.1	μB/f.u.

a = 7.501 Å, b = 7.501 Å, c = 7.501 Å
α = 59.15°, β = 59.15°, γ = 59.15°
Fractional positions:
K (0.120, 0.120, 0.120)
K (0.880, 0.880, 0.880)
Hf (0.500, 0.500, 0.500)
Sb (0.000, 0.500, 0.500)
Sb (0.500, 0.000, 0.500)
Sb (0.500, 0.500, 0.000)
O (0.170, 0.571, 0.571)
O (0.176, 0.176, 0.579)
O (0.176, 0.579, 0.176)
O (0.421, 0.824, 0.824)
O (0.429, 0.429, 0.830)
O (0.429, 0.830, 0.429)
O (0.571, 0.170, 0.571)
O (0.571, 0.571, 0.170)
O (0.579, 0.176, 0.176)
O (0.824, 0.421, 0.824)
O (0.824, 0.824, 0.421)
O (0.830, 0.429, 0.429)



6.
# Ho4AgPt

A geometry-optimized Ho4AgPt structure (PBE, Alexandria).

Calculated values
uncorrected energy	-5.139	eV per atom
E above lowest polymorph	0	meV/atom
magnetic moment	0.0	μB/f.u.

a = 9.535 Å, b = 9.535 Å, c = 9.535 Å
α = 60.00°, β = 60.00°, γ = 60.00°
Fractional positions:
Ho (0.061, 0.061, 0.439)
Ho (0.061, 0.439, 0.061)
Ho (0.061, 0.439, 0.439)
Ho (0.182, 0.606, 0.606)
Ho (0.185, 0.185, 0.815)
Ho (0.185, 0.815, 0.185)
Ho (0.185, 0.815, 0.815)
Ho (0.439, 0.061, 0.061)
Ho (0.439, 0.061, 0.439)
Ho (0.439, 0.439, 0.061)
Ho (0.606, 0.182, 0.606)
Ho (0.606, 0.606, 0.182)
Ho (0.606, 0.606, 0.606)
Ho (0.815, 0.185, 0.185)
Ho (0.815, 0.185, 0.815)
Ho (0.815, 0.815, 0.185)
Ag (0.499, 0.834, 0.834)
Ag (0.834, 0.499, 0.834)
Ag (0.834, 0.834, 0.499)
Ag (0.834, 0.834, 0.834)
Pt (0.395, 0.395, 0.395)
Pt (0.395, 0.395, 0.816)
Pt (0.395, 0.816, 0.395)
Pt (0.816, 0.395, 0.395)



7.
# KPtS2Cl

A geometry-optimized KPtS2Cl structure (PBE, Alexandria).

Calculated values
ΔE_f (raw)	-8.3	kcal/mol of atoms
uncorrected energy	-3.810	eV per atom
E above lowest polymorph	0	meV/atom
magnetic moment	1.5	μB/f.u.

a = 4.727 Å, b = 4.727 Å, c = 5.387 Å
α = 90.00°, β = 90.00°, γ = 90.00°
Fractional positions:
K (0.000, 0.000, 0.000)
Pt (0.500, 0.500, 0.500)
S (0.000, 0.500, 0.500)
S (0.500, 0.000, 0.500)
Cl (0.500, 0.500, 0.000)



8.
# RbSeBr3

A geometry-optimized RbSeBr3 structure (PBE, Alexandria).

Calculated values
ΔE_f (raw)	-16.5	kcal/mol of atoms
uncorrected energy	-2.611	eV per atom
magnetic moment	0.0	μB/f.u.

a = 5.591 Å, b = 9.151 Å, c = 7.896 Å
α = 90.00°, β = 94.93°, γ = 90.00°
Fractional positions:
Rb (0.200, 0.250, 0.238)
Rb (0.800, 0.750, 0.762)
Se (0.261, 0.250, 0.728)
Se (0.739, 0.750, 0.272)
Br (0.136, 0.750, 0.179)
Br (0.294, 0.534, 0.715)
Br (0.294, 0.966, 0.715)
Br (0.706, 0.034, 0.285)
Br (0.706, 0.466, 0.285)
Br (0.864, 0.250, 0.821)